# 1
# CaZr2TlH GGA-PBE optimized geometry
data_CaZr2TlH
_chemical_formula_sum 'Ca1 Zr2 Tl1 H1'
_symmetry_space_group_name_H-M 'P 1'
_symmetry_Int_Tables_number 1
_symmetry_space_group_name_Hall 'P 1'
_cell_length_a 4.527
_cell_length_b 4.527
_cell_length_c 4.832
_cell_angle_alpha 90.00
_cell_angle_beta 90.00
_cell_angle_gamma 90.00
loop_
_atom_site_label
_atom_site_type_symbol
_atom_site_fract_x
_atom_site_fract_y
_atom_site_fract_z
Ca1 Ca 0.000 0.000 0.000
Zr1 Zr 0.000 0.500 0.500
Zr2 Zr 0.500 0.000 0.500
Tl1 Tl 0.500 0.500 0.000
H1 H 0.000 0.000 0.500
# Calculated volume: 99.0 Å³ per cell
# Total DFT energy (no corrections): -5.068 eV/atom
# Fermi-level density of states: 4.86 states/eV/cell
# Total magnetization: 0.00 μB per atom
# Space group: P4/mmm (123)

# 2
# Ca2ZrTlH GGA-PBE optimized geometry
data_Ca2ZrTlH
_chemical_formula_sum 'Ca2 Zr1 Tl1 H1'
_symmetry_space_group_name_H-M 'P 1'
_symmetry_Int_Tables_number 1
_symmetry_space_group_name_Hall 'P 1'
_cell_length_a 4.786
_cell_length_b 4.786
_cell_length_c 4.814
_cell_angle_alpha 90.00
_cell_angle_beta 90.00
_cell_angle_gamma 90.00
loop_
_atom_site_label
_atom_site_type_symbol
_atom_site_fract_x
_atom_site_fract_y
_atom_site_fract_z
Ca1 Ca 0.000 0.500 0.000
Ca2 Ca 0.500 0.000 0.000
Zr1 Zr 0.000 0.000 0.500
Tl1 Tl 0.500 0.500 0.500
H1 H 0.000 0.000 0.000
# Calculated volume: 110.3 Å³ per cell
# Total DFT energy (no corrections): -3.756 eV/atom
# Fermi-level density of states: 2.44 states/eV/cell
# Total magnetization: 0.35 μB per atom
# Space group: P4/mmm (123)

# 3
# CaTm3H8 GGA-PBE optimized geometry
data_CaTm3H8
_chemical_formula_sum 'Ca1 Tm3 H8'
_symmetry_space_group_name_H-M 'P 1'
_symmetry_Int_Tables_number 1
_symmetry_space_group_name_Hall 'P 1'
_cell_length_a 5.135
_cell_length_b 5.135
_cell_length_c 5.135
_cell_angle_alpha 90.00
_cell_angle_beta 90.00
_cell_angle_gamma 90.00
loop_
_atom_site_label
_atom_site_type_symbol
_atom_site_fract_x
_atom_site_fract_y
_atom_site_fract_z
Ca1 Ca 0.000 0.000 0.000
Tm1 Tm 0.000 0.500 0.500
Tm2 Tm 0.500 0.000 0.500
Tm3 Tm 0.500 0.500 0.000
H1 H 0.257 0.257 0.257
H2 H 0.257 0.257 0.743
H3 H 0.257 0.743 0.257
H4 H 0.257 0.743 0.743
H5 H 0.743 0.257 0.257
H6 H 0.743 0.257 0.743
H7 H 0.743 0.743 0.257
H8 H 0.743 0.743 0.743
# Calculated volume: 135.4 Å³ per cell
# Total DFT energy (no corrections): -4.175 eV/atom
# Fermi-level density of states: 4.26 states/eV/cell
# Total magnetization: 0.00 μB per atom
# Space group: Pm-3m (221)